# 1
NdSm2Zn2Si4Au2 | PBE | relaxed

Cell: 12.732 12.732 12.732 Å, 160.95 160.88 27.12°
Atoms (fractional coordinates):
Nd1 0.000 0.000 0.000
Sm1 0.145 0.645 0.500
Sm2 0.855 0.355 0.500
Zn1 0.405 0.905 0.500
Zn2 0.595 0.095 0.500
Si1 0.310 0.810 0.500
Si2 0.452 0.452 0.000
Si3 0.548 0.548 0.000
Si4 0.690 0.190 0.500
Au1 0.250 0.250 0.000
Au2 0.750 0.750 0.000

For the total energy, the calculation gives -4.71 eV per atom. As for the space-group type: No. 71. The energy above the lowest structure with this stoichiometry is 37.3 meV per atom. Its total magnetization is 0.000 μB/atom.

=====

# 2
Y2Er | PBE | relaxed

Cell: 6.560 6.560 6.560 Å, 60.00 60.00 60.00°
Atoms (fractional coordinates):
Y1 0.000 0.000 0.000
Y2 0.000 0.000 0.500
Y3 0.000 0.500 0.000
Y4 0.500 0.000 0.000
Er1 0.375 0.375 0.375
Er2 0.625 0.625 0.625

For the total energy, the calculation gives -5.55 eV per atom. As for the space-group type: No. 227. Its formation energy from the elements is 0.285 eV/atom. Its total magnetization is 0.012 μB/atom.

=====

# 3
SrUFe | PBE | relaxed

Cell: 4.700 4.700 4.700 Å, 60.00 60.00 60.00°
Atoms (fractional coordinates):
Sr1 0.000 0.000 0.000
U1 0.500 0.500 0.500
Fe1 0.750 0.750 0.750

For the total energy, the calculation gives -5.92 eV per atom. As for the space-group type: No. 216. The energy above the lowest structure with this stoichiometry is 0.0 meV per atom. Its total magnetization is 0.007 μB/atom.

=====

# 4
BeZn | PBE | relaxed

Cell: 6.273 3.982 6.541 Å, 90.00 115.51 90.00°
Atoms (fractional coordinates):
Be1 0.000 0.000 0.000
Be2 0.020 0.500 0.608
Be3 0.418 0.000 0.175
Be4 0.438 0.500 0.787
Be5 0.651 0.000 0.975
Be6 0.785 0.500 0.807
Zn1 0.208 0.500 0.023
Zn2 0.229 0.000 0.763
Zn3 0.547 0.000 0.599
Zn4 0.580 0.500 0.388
Zn5 0.861 0.000 0.395
Zn6 0.886 0.500 0.181

For the total energy, the calculation gives -2.30 eV per atom. As for the space-group type: No. 6.

=====

# 5
Zr3BC3 | PBE | relaxed

Cell: 3.350 3.350 15.566 Å, 90.00 90.00 90.03°
Atoms (fractional coordinates):
Zr1 0.002 0.998 0.750
Zr2 0.497 0.503 0.107
Zr3 0.497 0.503 0.393
Zr4 0.503 0.497 0.607
Zr5 0.503 0.497 0.893
Zr6 0.998 0.002 0.250
B1 0.000 0.000 0.000
B2 0.000 0.000 0.500
C1 0.003 0.997 0.597
C2 0.003 0.997 0.903
C3 0.498 0.502 0.250
C4 0.502 0.498 0.750
C5 0.997 0.003 0.097
C6 0.997 0.003 0.403

For the total energy, the calculation gives -9.26 eV per atom. As for the space-group type: No. 63. Its total magnetization is 0.001 μB/atom.

=====

# 6
LuAlAsO | PBE | relaxed

Cell: 3.981 3.981 8.580 Å, 90.00 90.00 90.00°
Atoms (fractional coordinates):
Lu1 0.250 0.250 0.114
Lu2 0.750 0.750 0.886
Al1 0.250 0.750 0.500
Al2 0.750 0.250 0.500
As1 0.250 0.250 0.684
As2 0.750 0.750 0.316
O1 0.250 0.750 0.000
O2 0.750 0.250 0.000

For the total energy, the calculation gives -6.14 eV per atom. As for the space-group type: No. 129. The energy above the lowest structure with this stoichiometry is 0.0 meV per atom. Its total magnetization is 0.001 μB/atom.